Sn4Sb3Au | PBE-GGA | optimized geometry

Fermi-level density of states in states/eV per atom: 0.095
Calculated total energy in eV for the cell shown: -63.19

Geometry as extended XYZ:
```
16
Lattice="-6.987 0.195 3.210 3.364 -0.401 7.346 0.407 9.306 0.322" Properties=species:S:1:pos:R:3 pbc="T T T"
Au -0.459 4.415 7.879
Sb 0.806 4.581 1.489
Sn -3.640 4.716 3.208
Sn 0.327 2.034 2.840
Sn -1.774 6.642 7.203
Sb 2.517 6.698 5.139
Sn -4.002 0.064 3.219
Sn -1.961 2.363 7.055
Sb -2.087 6.958 4.317
Sn 2.014 4.343 6.839
Sb -0.742 -0.231 7.626
Sb 2.315 2.076 4.980
Sb -2.292 2.275 4.155
Sn 2.044 -0.320 6.670
Sn 0.547 7.061 3.014
Au -6.402 0.127 4.418
```